[1]
Compound: RbPmRhO3
Source: the Alexandria database
Functional: PBE-GGA
Structure: relaxed

abc: 7.0162 7.0162 7.9919
angles: 104.03 104.03 31.84
Last column: nearest neighbours and their distance in Å.
Fractional coordinates of all 12 atoms:
Rb 0.1406 0.1406 0.0605  7 O 2.80-3.14
Rb 0.8594 0.8594 0.9395  7 O 2.80-3.14
Pm 0.1532 0.1532 0.5747  6 O 2.31-2.53
Pm 0.8468 0.8468 0.4253  6 O 2.31-2.53
Rh 0.4930 0.4930 0.6991  4 O 1.92-2.14
Rh 0.5070 0.5070 0.3009  4 O 1.92-2.14
O 0.0081 0.0081 0.3047  2 Rh 1.92
O 0.3289 0.3289 0.6204  1 Rh 2.14, 1 Pm 2.31
O 0.3478 0.3478 0.2405  1 Rh 2.08
O 0.6522 0.6522 0.7595  1 Rh 2.08
O 0.6711 0.6711 0.3796  1 Rh 2.14, 1 Pm 2.31
O 0.9919 0.9919 0.6953  2 Rh 1.92

ΔE_f (raw) ... -1.919 eV per atom
Symmetry ... C2/m (12)

=====

[2]
Compound: LiCe2AlSe5
Source: the Alexandria database
Functional: PBE-GGA
Structure: relaxed

abc: 9.1156 9.1156 11.9504
angles: 90.00 90.00 154.49
Last column: nearest neighbours and their distance in Å.
Fractional coordinates of all 18 atoms:
Li 0.2124 0.7876 0.5000  5 Se 2.60-2.84
Li 0.7876 0.2124 0.0000  5 Se 2.60-2.84
Ce 0.1220 0.8780 0.1632  8 Se 2.99-3.28
Ce 0.1321 0.8679 0.7882  7 Se 2.93-3.26
Ce 0.8679 0.1321 0.2882  7 Se 2.93-3.26
Ce 0.8780 0.1220 0.6632  8 Se 2.99-3.28
Al 0.4307 0.5693 0.9331  4 Se 2.40-2.44
Al 0.5693 0.4307 0.4331  4 Se 2.40-2.44
Se 0.0438 0.9562 0.5420  2 Al 2.44
Se 0.2930 0.7070 0.1486  2 Li 2.69, 2 Ce 2.93
Se 0.3128 0.6872 0.8362  1 Al 2.40
Se 0.3578 0.6422 0.4806  1 Li 2.60
Se 0.4995 0.5005 0.7602  1 Al 2.40
Se 0.5005 0.4995 0.2602  1 Al 2.40
Se 0.6422 0.3578 0.9806  1 Li 2.60
Se 0.6872 0.3128 0.3362  1 Al 2.40
Se 0.7070 0.2930 0.6486  2 Li 2.69, 2 Ce 2.93
Se 0.9562 0.0438 0.0420  2 Al 2.44

ΔE_f (raw) ... -1.464 eV per atom
Symmetry ... Cmc2_1 (36)